{"formula": "Li3TlSn2", "functional": "GGA-PBE", "state": "relaxed", "cell": [[-3.035, 0.648, 1.350], [-0.590, -3.322, 0.269], [4.374, 0.018, 9.822]], "species": ["Li", "Li", "Li", "Tl", "Sn", "Sn"], "frac_coords": [[0.000, 0.000, 0.000], [0.000, 0.000, 0.670], [0.000, 0.000, 0.330], [0.500, 0.500, 0.500], [0.500, 0.500, 0.833], [0.500, 0.500, 0.167]], "sg": "P4/mmm (123)", "final_energy_ev_per_atom": -2.978, "relative_energy_mev_per_atom": 0.0}